Record 1
AlFe2Ru | PBE-GGA | optimized geometry

Energy relative to the elements: 1.52 kcal/mol of atoms

Lattice parameters (Å, degrees): 2.9307 4.3199 8.2629 90.00 90.00 90.00
Closest atoms and distances in Å follow each position.
Element x y z (fractional)
Al 0.0000 0.0000 0.0000  4 Fe 2.50, 4 Al 2.61
Al 0.5000 0.5000 0.0000  4 Fe 2.50, 4 Al 2.61
Fe 0.0000 0.5000 0.2456  2 Al 2.50, 2 Ru 2.56, 4 Fe 2.61
Fe 0.0000 0.5000 0.7544  2 Al 2.50, 2 Ru 2.56, 4 Fe 2.61
Fe 0.5000 0.0000 0.2456  2 Al 2.50, 2 Ru 2.56, 4 Fe 2.61
Fe 0.5000 0.0000 0.7544  2 Al 2.50, 2 Ru 2.56, 4 Fe 2.61
Ru 0.0000 0.0000 0.5000  4 Fe 2.56, 4 Ru 2.61
Ru 0.5000 0.5000 0.5000  4 Fe 2.56, 4 Ru 2.61



Record 2
MgSc2Re | PBE-GGA | optimized geometry

Energy relative to the elements: 2.10 kcal/mol of atoms

Lattice parameters (Å, degrees): 3.2083 3.2083 28.3299 90.00 90.00 120.00
Closest atoms and distances in Å follow each position.
Element x y z (fractional)
Mg 0.0000 0.0000 0.0000  6 Mg 3.21, 6 Sc 3.31
Mg 0.3333 0.6667 0.6667  6 Mg 3.21, 6 Sc 3.31
Mg 0.6667 0.3333 0.3333  6 Mg 3.21, 6 Sc 3.31
Sc 0.0000 0.0000 0.2364  3 Re 2.71
Sc 0.0000 0.0000 0.7636  3 Re 2.71
Sc 0.3333 0.6667 0.4302  3 Re 2.71
Sc 0.3333 0.6667 0.9031  3 Re 2.71
Sc 0.6667 0.3333 0.0969  3 Re 2.71
Sc 0.6667 0.3333 0.5698  3 Re 2.71
Re 0.0000 0.0000 0.5000  6 Sc 2.71
Re 0.3333 0.6667 0.1667  6 Sc 2.71
Re 0.6667 0.3333 0.8333  6 Sc 2.71



Record 3
CdBHPt4 | PBE-GGA | optimized geometry

Energy: -72.4 eV/cell

Lattice parameters (Å, degrees): 5.5754 5.6478 6.3266 90.00 90.69 90.00
Closest atoms and distances in Å follow each position.
Element x y z (fractional)
Cd 0.2001 0.2500 0.3930  1 H 2.30
Cd 0.7999 0.7500 0.6070  1 H 2.30
B 0.3807 0.7500 0.0758  6 Pt 2.10-2.29
B 0.6193 0.2500 0.9242  6 Pt 2.10-2.29
H 0.0063 0.7500 0.2938  2 Pt 1.70-1.76
H 0.9937 0.2500 0.7062  2 Pt 1.70-1.76
Pt 0.0100 0.7500 0.0150  1 H 1.76
Pt 0.2756 0.7500 0.4243  1 H 1.70
Pt 0.3741 0.5059 0.8011  2 B 2.13-2.22
Pt 0.3741 0.9941 0.8011  2 B 2.13-2.22
Pt 0.6259 0.0059 0.1989  2 B 2.13-2.22
Pt 0.6259 0.4941 0.1989  2 B 2.13-2.22
Pt 0.7244 0.2500 0.5757  1 H 1.70
Pt 0.9900 0.2500 0.9850  1 H 1.76



Record 4
CrSbPb2 | PBE-GGA | optimized geometry

Energy: -78.0 eV/cell

Lattice parameters (Å, degrees): 4.4383 4.4383 22.6169 90.00 90.00 90.00
Closest atoms and distances in Å follow each position.
Element x y z (fractional)
Cr 0.0000 0.0000 0.0000  4 Sb 3.14, 4 Pb 3.23
Cr 0.0000 0.5000 0.2500  4 Sb 3.14, 4 Pb 3.23
Cr 0.5000 0.0000 0.7500  4 Sb 3.14, 4 Pb 3.23
Cr 0.5000 0.5000 0.5000  4 Sb 3.14, 4 Pb 3.23
Sb 0.0000 0.0000 0.5000  4 Cr 3.14, 4 Pb 3.24
Sb 0.0000 0.5000 0.7500  4 Cr 3.14, 4 Pb 3.24
Sb 0.5000 0.0000 0.2500  4 Cr 3.14, 4 Pb 3.24
Sb 0.5000 0.5000 0.0000  4 Cr 3.14, 4 Pb 3.24
Pb 0.2478 0.2500 0.1250  4 Pb 3.12-3.15, 2 Cr 3.23, 2 Sb 3.24
Pb 0.2500 0.7478 0.3750  4 Pb 3.12-3.15, 2 Cr 3.23, 2 Sb 3.24
Pb 0.2500 0.7522 0.8750  4 Pb 3.12-3.15, 2 Cr 3.23, 2 Sb 3.24
Pb 0.2522 0.2500 0.6250  4 Pb 3.12-3.15, 2 Cr 3.23, 2 Sb 3.24
Pb 0.7478 0.7500 0.6250  4 Pb 3.12-3.15, 2 Cr 3.23, 2 Sb 3.24
Pb 0.7500 0.2478 0.8750  4 Pb 3.12-3.15, 2 Cr 3.23, 2 Sb 3.24
Pb 0.7500 0.2522 0.3750  4 Pb 3.12-3.15, 2 Cr 3.23, 2 Sb 3.24
Pb 0.7522 0.7500 0.1250  4 Pb 3.12-3.15, 2 Cr 3.23, 2 Sb 3.24



Record 5
MgSb2OsF | PBE-GGA | optimized geometry

Energy: -22.3 eV/cell

Lattice parameters (Å, degrees): 5.3917 5.3917 3.5344 90.00 90.00 90.00
Closest atoms and distances in Å follow each position.
Element x y z (fractional)
Mg 0.0000 0.0000 0.0000  2 F 1.77
Sb 0.0000 0.5000 0.0000  2 Mg 2.70
Sb 0.5000 0.0000 0.0000  2 Mg 2.70
Os 0.5000 0.5000 0.5000  8 Sb 3.22, 2 Os 3.53
F 0.0000 0.0000 0.5000  2 Mg 1.77



Record 6
LiScTc2 | PBE-GGA | optimized geometry

Energy relative to the elements: 1.35 kcal/mol of atoms
Energy above the most stable polymorph in this dataset: 0.100 eV/atom

Lattice parameters (Å, degrees): 3.2684 4.1753 4.5086 90.00 90.00 90.00
Closest atoms and distances in Å follow each position.
Element x y z (fractional)
Li 0.0000 0.0000 0.0000  4 Sc 2.65, 4 Tc 2.78
Sc 0.5000 0.5000 0.0000  4 Li 2.65, 4 Tc 2.78
Tc 0.0000 0.5000 0.5000  4 Tc 2.65, 4 Sc 2.78
Tc 0.5000 0.0000 0.5000  4 Tc 2.65, 4 Li 2.78